Compound: Nd6Pt2I3Br
Source: Alexandria
Functional: PBE
Structure: relaxed

Properties
formation energy without anion corrections = -1.088 eV/atom
Fermi-level density of states = 6.691 states/eV/cell
uncorrected energy = -5.006 eV/atom
space group = No. 12

Lattice parameters (Å, degrees): 7.643 7.643 8.208 98.92 98.92 119.83
Positions (direct):
Nd1 0.067 0.434 0.806
Nd2 0.196 0.196 0.191
Nd3 0.434 0.067 0.806
Nd4 0.566 0.933 0.194
Nd5 0.804 0.804 0.809
Nd6 0.933 0.566 0.194
Pt1 0.167 0.833 0.000
Pt2 0.833 0.167 0.000
I1 0.000 0.000 0.500
I2 0.342 0.658 0.500
I3 0.658 0.342 0.500
Br1 0.500 0.500 0.000

Compound: ScTa2Cu
Source: Alexandria
Functional: PBE
Structure: relaxed

Properties
Fermi-level density of states = 4.516 states/eV/cell
uncorrected energy = -8.333 eV/atom
space group = No. 123
ΔE_f = 0.200 eV/atom
E above lowest polymorph = 0.133 eV per atom

Lattice parameters (Å, degrees): 4.026 4.026 4.356 90.00 90.00 90.00
Positions (direct):
Sc1 0.000 0.000 0.000
Ta1 0.000 0.500 0.500
Ta2 0.500 0.000 0.500
Cu1 0.500 0.500 0.000

Compound: CeTh3Ir8
Source: Alexandria
Functional: PBE
Structure: relaxed

Properties
Fermi-level density of states = 14.688 states/eV/cell
uncorrected energy = -9.067 eV/atom
space group = No. 160
ΔE_f = -0.810 eV/atom

Lattice parameters (Å, degrees): 9.423 9.423 9.423 33.56 33.56 33.56
Positions (direct):
Ce1 0.000 0.000 0.000
Th1 0.124 0.124 0.124
Th2 0.502 0.502 0.502
Th3 0.628 0.628 0.628
Ir1 0.064 0.064 0.564
Ir2 0.064 0.563 0.563
Ir3 0.064 0.564 0.064
Ir4 0.314 0.314 0.314
Ir5 0.563 0.064 0.563
Ir6 0.563 0.563 0.064
Ir7 0.564 0.064 0.064
Ir8 0.814 0.814 0.814

Compound: ZrTaHg
Source: Alexandria
Functional: PBE
Structure: relaxed

Properties
Fermi-level density of states = 4.106 states/eV/cell
uncorrected energy = -6.612 eV/atom
space group = No. 187
ΔE_f = 0.288 eV/atom
E above lowest polymorph = 0.325 eV per atom

Lattice parameters (Å, degrees): 5.037 5.037 2.832 90.00 90.00 120.00
Positions (direct):
Zr1 0.000 0.000 0.000
Ta1 0.333 0.667 0.500
Hg1 0.667 0.333 0.500

Compound: Tl2CdSb
Source: Alexandria
Functional: PBE
Structure: relaxed

Properties
formation energy without anion corrections = 0.054 eV/atom
Fermi-level density of states = 1.538 states/eV/cell
uncorrected energy = -2.388 eV/atom
space group = No. 71
E above lowest polymorph = 0.048 eV per atom

Lattice parameters (Å, degrees): 6.297 6.297 6.297 137.01 136.85 62.55
Positions (direct):
Tl1 0.249 0.249 0.000
Tl2 0.751 0.751 0.000
Cd1 0.500 0.000 0.500
Sb1 0.000 0.500 0.500

Compound: AcAs2Rh5Pb
Source: Alexandria
Functional: PBE
Structure: relaxed

Properties
Fermi-level density of states = 3.721 states/eV/cell
uncorrected energy = -6.441 eV/atom
space group = No. 123
ΔE_f = -0.455 eV/atom

Lattice parameters (Å, degrees): 4.197 4.197 10.663 90.00 90.00 90.00
Positions (direct):
Ac1 0.000 0.000 0.000
As1 0.500 0.500 0.224
As2 0.500 0.500 0.776
Rh1 0.000 0.500 0.332
Rh2 0.000 0.500 0.668
Rh3 0.500 0.000 0.332
Rh4 0.500 0.000 0.668
Rh5 0.500 0.500 0.000
Pb1 0.000 0.000 0.500

Compound: PuZr2Sc5
Source: Alexandria
Functional: PBE
Structure: relaxed

Properties
Fermi-level density of states = 16.154 states/eV/cell
uncorrected energy = -7.750 eV/atom
space group = No. 12
ΔE_f = 0.136 eV/atom
E above lowest polymorph = 0.024 eV per atom

Lattice parameters (Å, degrees): 10.596 10.596 3.077 98.33 98.33 141.66
Positions (direct):
Pu1 0.000 0.000 0.000
Zr1 0.261 0.739 0.500
Zr2 0.739 0.261 0.500
Sc1 0.134 0.379 0.757
Sc2 0.379 0.134 0.757
Sc3 0.500 0.500 0.500
Sc4 0.621 0.866 0.243
Sc5 0.866 0.621 0.243

Compound: NaCdBF6
Source: Alexandria
Functional: PBE
Structure: relaxed

Properties
formation energy without anion corrections = -2.650 eV/atom
Fermi-level density of states = 0.000 states/eV/cell
uncorrected energy = -4.888 eV/atom
space group = No. 1

Lattice parameters (Å, degrees): 4.136 4.241 7.338 89.73 73.83 87.91
Positions (direct):
Na1 0.000 0.000 0.000
Cd1 0.640 0.496 0.716
B1 0.331 0.499 0.327
F1 0.070 0.318 0.447
F2 0.077 0.497 0.844
F3 0.198 0.706 0.215
F4 0.474 0.678 0.449
F5 0.576 0.294 0.212
F6 0.591 0.997 0.817

Compound: TiRuNO2
Source: Alexandria
Functional: PBE
Structure: relaxed

Properties
formation energy without anion corrections = -0.516 eV/atom
Fermi-level density of states = 4.219 states/eV/cell
uncorrected energy = -7.599 eV/atom
space group = No. 123

Lattice parameters (Å, degrees): 3.761 3.761 4.127 90.00 90.00 90.00
Positions (direct):
Ti1 0.000 0.000 0.000
Ru1 0.500 0.500 0.500
N1 0.000 0.000 0.500
O1 0.000 0.500 0.000
O2 0.500 0.000 0.000

Compound: NaTl2SnPb2
Source: Alexandria
Functional: PBE
Structure: relaxed

Properties
Fermi-level density of states = 4.408 states/eV/cell
uncorrected energy = -2.968 eV/atom
space group = No. 26
ΔE_f = -0.056 eV/atom

Lattice parameters (Å, degrees): 4.840 10.178 7.255 90.00 90.00 90.00
Positions (direct):
Na1 0.000 0.011 0.000
Na2 0.000 0.989 0.500
Tl1 0.000 0.332 0.987
Tl2 0.000 0.668 0.487
Tl3 0.500 0.499 0.234
Tl4 0.500 0.501 0.734
Sn1 0.500 0.165 0.245
Sn2 0.500 0.835 0.745
Pb1 0.000 0.311 0.480
Pb2 0.000 0.689 0.980
Pb3 0.500 0.158 0.744
Pb4 0.500 0.842 0.244

Compound: YPaMn
Source: Alexandria
Functional: PBE
Structure: relaxed

Properties
Fermi-level density of states = 12.630 states/eV/cell
uncorrected energy = -8.364 eV/atom
space group = No. 14
ΔE_f = 0.012 eV/atom
E above lowest polymorph = 0.000 eV per atom

Lattice parameters (Å, degrees): 6.679 6.207 6.959 90.00 100.00 90.00
Positions (direct):
Y1 0.143 0.171 0.349
Y2 0.143 0.329 0.849
Y3 0.857 0.671 0.151
Y4 0.857 0.829 0.651
Pa1 0.332 0.685 0.507
Pa2 0.332 0.815 0.007
Pa3 0.668 0.185 0.993
Pa4 0.668 0.315 0.493
Mn1 0.478 0.047 0.730
Mn2 0.478 0.453 0.230
Mn3 0.522 0.547 0.770
Mn4 0.522 0.953 0.270

Compound: MgGaNi4
Source: Alexandria
Functional: PBE
Structure: relaxed

Properties
Fermi-level density of states = 14.930 states/eV/cell
uncorrected energy = -4.690 eV/atom
space group = No. 63
ΔE_f = -0.066 eV/atom
E above lowest polymorph = 0.107 eV per atom

Lattice parameters (Å, degrees): 8.335 8.335 4.996 90.00 90.00 152.25
Positions (direct):
Mg1 0.084 0.916 0.750
Mg2 0.916 0.084 0.250
Ga1 0.352 0.648 0.750
Ga2 0.648 0.352 0.250
Ni1 0.069 0.931 0.250
Ni2 0.215 0.785 0.010
Ni3 0.215 0.785 0.490
Ni4 0.500 0.500 0.000
Ni5 0.500 0.500 0.500
Ni6 0.785 0.215 0.510
Ni7 0.785 0.215 0.990
Ni8 0.931 0.069 0.750

Compound: La2TaC
Source: Alexandria
Functional: PBE
Structure: relaxed

Properties
Fermi-level density of states = 10.387 states/eV/cell
uncorrected energy = -7.490 eV/atom
space group = No. 122
ΔE_f = 0.243 eV/atom

Lattice parameters (Å, degrees): 7.382 7.382 7.382 94.70 94.70 146.74
Positions (direct):
La1 0.375 0.212 0.337
La2 0.788 0.125 0.163
La3 0.875 0.038 0.663
La4 0.962 0.625 0.837
Ta1 0.250 0.750 0.500
Ta2 0.500 0.500 0.000
C1 0.000 0.000 0.000
C2 0.750 0.250 0.500

Compound: Li2Mn2H7
Source: Alexandria
Functional: PBE
Structure: relaxed

Properties
Fermi-level density of states = 3.006 states/eV/cell
uncorrected energy = -4.248 eV/atom
space group = No. 65

Lattice parameters (Å, degrees): 4.115 4.115 4.425 90.00 90.00 97.29
Positions (direct):
Li1 0.242 0.242 0.000
Li2 0.758 0.758 0.000
Mn1 0.273 0.727 0.500
Mn2 0.727 0.273 0.500
H1 0.000 0.000 0.500
H2 0.000 0.500 0.262
H3 0.000 0.500 0.738
H4 0.500 0.000 0.262
H5 0.500 0.000 0.738
H6 0.500 0.500 0.282
H7 0.500 0.500 0.718

Compound: ScPClO4
Source: Alexandria
Functional: PBE
Structure: relaxed

Properties
formation energy without anion corrections = -2.350 eV/atom
Fermi-level density of states = 0.000 states/eV/cell
uncorrected energy = -7.124 eV/atom
space group = No. 12

Lattice parameters (Å, degrees): 6.053 6.053 6.272 100.37 100.37 62.24
Positions (direct):
Sc1 0.206 0.206 0.343
Sc2 0.794 0.794 0.657
P1 0.146 0.146 0.778
P2 0.854 0.854 0.222
Cl1 0.470 0.470 0.641
Cl2 0.530 0.530 0.359
O1 0.003 0.386 0.653
O2 0.006 0.006 0.258
O3 0.211 0.211 0.020
O4 0.386 0.003 0.653
O5 0.614 0.997 0.347
O6 0.789 0.789 0.980
O7 0.994 0.994 0.742
O8 0.997 0.614 0.347

Compound: CsTiHg2I8
Source: Alexandria
Functional: PBE
Structure: relaxed

Properties
formation energy without anion corrections = -0.644 eV/atom
Fermi-level density of states = 1.794 states/eV/cell
uncorrected energy = -2.457 eV/atom
space group = No. 2

Lattice parameters (Å, degrees): 7.528 8.361 9.859 109.15 96.14 91.21
Positions (direct):
Cs1 0.000 0.000 0.000
Ti1 0.000 0.500 0.500
Hg1 0.466 0.525 0.209
Hg2 0.534 0.475 0.791
I1 0.086 0.498 0.221
I2 0.182 0.805 0.626
I3 0.309 0.315 0.536
I4 0.476 0.765 0.032
I5 0.524 0.235 0.968
I6 0.691 0.685 0.464
I7 0.818 0.195 0.374
I8 0.914 0.502 0.779

Compound: Sr2CaCl
Source: Alexandria
Functional: PBE
Structure: relaxed

Properties
formation energy without anion corrections = -0.712 eV/atom
Fermi-level density of states = 3.041 states/eV/cell
uncorrected energy = -2.515 eV/atom
space group = No. 44
E above lowest polymorph = 0.103 eV per atom

Lattice parameters (Å, degrees): 7.247 7.247 7.247 148.65 120.88 68.45
Positions (direct):
Sr1 0.000 0.000 0.000
Sr2 0.689 0.189 0.500
Ca1 0.302 0.802 0.500
Cl1 0.487 0.487 0.000

Compound: Pr12Dy5Sc2
Source: Alexandria
Functional: PBE
Structure: relaxed

Properties
Fermi-level density of states = 28.790 states/eV/cell
uncorrected energy = -4.726 eV/atom
space group = No. 12
ΔE_f = 0.170 eV/atom

Lattice parameters (Å, degrees): 10.113 10.113 9.671 111.78 111.78 45.71
Positions (direct):
Pr1 0.015 0.015 0.179
Pr2 0.102 0.586 0.019
Pr3 0.116 0.576 0.635
Pr4 0.414 0.898 0.981
Pr5 0.424 0.884 0.365
Pr6 0.481 0.481 0.316
Pr7 0.519 0.519 0.684
Pr8 0.576 0.116 0.635
Pr9 0.586 0.102 0.019
Pr10 0.884 0.424 0.365
Pr11 0.898 0.414 0.981
Pr12 0.985 0.985 0.821
Dy1 0.187 0.187 0.695
Dy2 0.293 0.293 0.293
Dy3 0.500 0.500 0.000
Dy4 0.707 0.707 0.707
Dy5 0.813 0.813 0.305
Sc1 0.174 0.826 0.500
Sc2 0.826 0.174 0.500

Compound: CaMg2
Source: Alexandria
Functional: PBE
Structure: relaxed

Properties
Fermi-level density of states = 3.616 states/eV/cell
uncorrected energy = -1.723 eV/atom
space group = No. 189
ΔE_f = 0.008 eV/atom

Lattice parameters (Å, degrees): 6.073 6.073 5.397 90.00 90.00 120.00
Positions (direct):
Ca1 0.333 0.667 0.000
Ca2 0.667 0.333 0.000
Mg1 0.000 0.000 0.000
Mg2 0.000 0.693 0.500
Mg3 0.307 0.307 0.500
Mg4 0.693 0.000 0.500

Compound: Mg2ReW
Source: Alexandria
Functional: PBE
Structure: relaxed

Properties
Fermi-level density of states = 2.799 states/eV/cell
uncorrected energy = -6.896 eV/atom
space group = No. 44
ΔE_f = 0.252 eV/atom
E above lowest polymorph = 0.072 eV per atom

Lattice parameters (Å, degrees): 4.512 4.512 4.512 120.11 120.00 89.91
Positions (direct):
Mg1 0.000 0.000 0.000
Mg2 0.750 0.250 0.500
Re1 0.500 0.500 0.000
W1 0.250 0.750 0.500